Compound: Mn3BiB
Source: Alexandria
Functional: PBE
Structure: relaxed

a = 4.224 Å, b = 4.224 Å, c = 4.224 Å
α = 90.00°, β = 90.00°, γ = 90.00°
Fractional positions:
1 Mn 0.000 0.000 0.500
2 Mn 0.000 0.500 0.000
3 Mn 0.500 0.000 0.000
4 Bi 0.500 0.500 0.500
5 B 0.000 0.000 0.000

Properties
Spin magnetization (μB/atom): 1.9779
Calculated volume (Å³/cell): 75.4


Compound: LiMnSnAu2
Source: Alexandria
Functional: PBE
Structure: relaxed

a = 5.152 Å, b = 5.152 Å, c = 4.914 Å
α = 90.00°, β = 90.00°, γ = 90.00°
Fractional positions:
1 Li 0.000 0.000 0.000
2 Mn 0.500 0.500 0.000
3 Sn 0.000 0.000 0.500
4 Au 0.000 0.500 0.500
5 Au 0.500 0.000 0.500

Properties
Spin magnetization (μB/atom): 0.9747
Calculated volume (Å³/cell): 130.4


Compound: LiTbYCo
Source: Alexandria
Functional: PBE
Structure: relaxed

a = 4.880 Å, b = 4.880 Å, c = 4.880 Å
α = 60.00°, β = 60.00°, γ = 60.00°
Fractional positions:
1 Li 0.000 0.000 0.000
2 Tb 0.750 0.750 0.750
3 Y 0.250 0.250 0.250
4 Co 0.500 0.500 0.500

Properties
Spin magnetization (μB/atom): 0.0000
Calculated volume (Å³/cell): 82.2


Compound: SmYCd6
Source: Alexandria
Functional: PBE
Structure: relaxed

a = 4.919 Å, b = 6.580 Å, c = 6.580 Å
α = 65.65°, β = 90.00°, γ = 90.00°
Fractional positions:
1 Sm 0.000 0.000 0.000
2 Y 0.500 0.722 0.722
3 Cd 0.000 0.050 0.486
4 Cd 0.000 0.486 0.050
5 Cd 0.000 0.534 0.534
6 Cd 0.500 0.190 0.190
7 Cd 0.500 0.237 0.670
8 Cd 0.500 0.670 0.237

Properties
Spin magnetization (μB/atom): 0.0000
Calculated volume (Å³/cell): 194.0


| no. | raw total energy (eV per cell) |
| --- | --- |
| 1 | -37.253 |
| 2 | -18.611 |
| 3 | -20.363 |
| 4 | -19.064 |